[1]
VASP calculation (PBE) on a geometry-optimized ZrCrAgS4 structure.

- magnetization (μB/cell) = 3.0
- VASP energy (eV for the cell shown) = -43.8
- energy above the lowest structure with this stoichiometry (meV/atom) = 19
- ρ (kg/m³) = 4416
- formation energy without anion corrections (meV/atom) = -895.5

Unit cell a=3.6236 b=6.1195 c=7.4017 alpha=115.46 beta=104.17 gamma=90.00
Fractional coordinates of all 7 atoms:
Ag1 0.5021 0.5230 0.0042
S1 0.6369 0.9813 0.2738
Zr1 0.7523 0.7661 0.5046
S2 0.8520 0.4976 0.7041
Cr1 0.2469 0.2323 0.4939
S3 0.1417 0.4536 0.2833
S4 0.3681 0.0459 0.7362



[2]
VASP calculation (PBE) on a geometry-optimized ScCdAs2 structure.

- magnetization (μB/cell) = 0.0
- energy of formation (eV per atom) = -0.337
- VASP energy (eV for the cell shown) = -17.9
- ρ (kg/m³) = 6365

Unit cell a=5.2285 b=5.2285 c=5.2285 alpha=130.77 beta=130.77 gamma=72.17
Fractional coordinates of all 4 atoms:
As1 0.5000 0.5000 0.0000
As2 0.0000 0.0000 0.0000
Sc1 0.7500 0.2500 0.5000
Cd1 0.2500 0.7500 0.5000



[3]
VASP calculation (PBE) on a geometry-optimized P2PbSe structure.

- magnetization (μB/cell) = 0.0
- VASP energy (eV for the cell shown) = -17.8
- energy above the lowest structure with this stoichiometry (meV/atom) = 65
- ρ (kg/m³) = 5803
- formation energy without anion corrections (meV/atom) = 46.2

Unit cell a=6.0347 b=6.0347 c=5.2777 alpha=71.40 beta=71.40 gamma=33.34
Fractional coordinates of all 4 atoms:
Se1 0.5000 0.5000 0.5000
Pb1 0.0000 0.0000 0.0000
P1 0.2627 0.2627 0.6249
P2 0.7373 0.7373 0.3751



[4]
VASP calculation (PBE) on a geometry-optimized YPbI2O structure.

- magnetization (μB/cell) = 0.5
- VASP energy (eV for the cell shown) = -19.7
- energy above the lowest structure with this stoichiometry (meV/atom) = 940
- ρ (kg/m³) = 5456
- formation energy without anion corrections (meV/atom) = -293.1

Unit cell a=6.3819 b=6.3819 c=4.2292 alpha=90.00 beta=90.00 gamma=90.00
Fractional coordinates of all 5 atoms:
Pb1 0.0000 0.0000 0.0000
Y1 0.5000 0.5000 0.5000
O1 0.0000 0.0000 0.5000
I1 0.0000 0.5000 0.0000
I2 0.5000 0.0000 0.0000



[5]
VASP calculation (PBE) on a geometry-optimized K3SmY2Se6 structure.

- magnetization (μB/cell) = 0.0
- VASP energy (eV for the cell shown) = -63.1
- ρ (kg/m³) = 4240
- formation energy without anion corrections (meV/atom) = -1768.1

Unit cell a=7.3514 b=7.3514 c=8.0727 alpha=98.73 beta=98.73 gamma=120.00
Fractional coordinates of all 12 atoms:
Se1 0.0689 0.4068 0.2066
Se2 0.7309 0.7309 0.2065
Se3 0.5932 0.9311 0.7934
Y1 0.3332 0.6667 0.0000
K1 0.8341 0.1659 0.5000
Sm1 0.0000 0.0000 0.0000
Se4 0.9311 0.5932 0.7934
K2 0.1659 0.8341 0.5000
Se5 0.4068 0.0689 0.2066
Se6 0.2691 0.2691 0.7935
K3 0.5000 0.5000 0.5000
Y2 0.6667 0.3332 0.0000



[6]
VASP calculation (PBE) on a geometry-optimized Li2Ca2Mg5Sc structure.

- magnetization (μB/cell) = 0.0
- energy of formation (eV per atom) = -0.029
- VASP energy (eV for the cell shown) = -44.9
- ρ (kg/m³) = 1710

Unit cell a=4.2021 b=10.9732 c=10.9732 alpha=90.00 beta=90.00 gamma=90.00
Fractional coordinates of all 20 atoms:
Mg1 0.5000 0.9431 0.2056
Mg2 0.5000 0.0569 0.7944
Ca1 0.0000 0.8189 0.6811
Li1 0.0000 0.3820 0.1180
Mg3 0.5000 0.5000 0.0000
Mg4 0.5000 0.0000 0.5000
Ca2 0.0000 0.6811 0.1811
Li2 0.0000 0.6180 0.8820
Mg5 0.5000 0.7056 0.4431
Li3 0.0000 0.8820 0.3820
Ca3 0.0000 0.3189 0.8189
Mg6 0.5000 0.5569 0.7056
Ca4 0.0000 0.1811 0.3189
Mg7 0.5000 0.7944 0.9431
Mg8 0.5000 0.2944 0.5569
Mg9 0.5000 0.4431 0.2944
Sc1 0.0000 0.5000 0.5000
Li4 0.0000 0.1180 0.6180
Mg10 0.5000 0.2056 0.0569
Sc2 0.0000 0.0000 0.0000



[7]
VASP calculation (PBE) on a geometry-optimized Pm5Nd2Pb4 structure.

- magnetization (μB/cell) = 0.0
- energy of formation (eV per atom) = -0.098
- VASP energy (eV for the cell shown) = -49.2
- ρ (kg/m³) = 8426

Unit cell a=3.5600 b=8.9407 c=14.6487 alpha=127.99 beta=96.98 gamma=90.00
Fractional coordinates of all 11 atoms:
Pm1 0.7589 0.3294 0.5178
Pb1 0.3907 0.5385 0.7815
Nd1 0.8705 0.8276 0.7409
Pm2 0.5000 0.0000 0.0000
Pb2 0.6093 0.4615 0.2185
Pm3 0.1701 0.8657 0.3401
Pm4 0.8299 0.1343 0.6599
Pm5 0.2411 0.6706 0.4822
Pb3 0.0212 0.7086 0.0423
Pb4 0.9788 0.2914 0.9577
Nd2 0.1295 0.1724 0.2591



[8]
VASP calculation (PBE) on a geometry-optimized Li4WCl structure.

- magnetization (μB/cell) = 3.2
- VASP energy (eV for the cell shown) = -18.6
- ρ (kg/m³) = 3768
- formation energy without anion corrections (meV/atom) = 649.0

Unit cell a=5.3598 b=5.3598 c=5.3598 alpha=60.00 beta=60.00 gamma=60.00
Fractional coordinates of all 6 atoms:
Li1 0.3774 0.3774 0.3774
Li2 0.8679 0.3774 0.3774
Li3 0.3774 0.8679 0.3774
Cl1 0.0000 0.0000 0.0000
Li4 0.3774 0.3774 0.8679
W1 0.7500 0.7500 0.7500



[9]
VASP calculation (PBE) on a geometry-optimized TaSiCl2 structure.

- magnetization (μB/cell) = 0.0
- VASP energy (eV for the cell shown) = -18.6
- energy above the lowest structure with this stoichiometry (meV/atom) = 1071
- ρ (kg/m³) = 6568
- formation energy without anion corrections (meV/atom) = 588.4

Unit cell a=5.1569 b=5.1569 c=5.1569 alpha=133.56 beta=133.56 gamma=67.77
Fractional coordinates of all 4 atoms:
Cl1 0.0000 0.0000 0.0000
Si1 0.2500 0.7500 0.5000
Ta1 0.7500 0.2500 0.5000
Cl2 0.5000 0.5000 0.0000



[10]
VASP calculation (PBE) on a geometry-optimized Er2UTl2Se6 structure.

- magnetization (μB/cell) = 2.0
- VASP energy (eV for the cell shown) = -60.5
- ρ (kg/m³) = 6959
- formation energy without anion corrections (meV/atom) = -1313.4

Unit cell a=7.1495 b=7.1495 c=8.2049 alpha=98.44 beta=98.44 gamma=120.00
Fractional coordinates of all 11 atoms:
Tl1 0.1673 0.8327 0.0000
Er1 0.3329 0.6671 0.5000
Se1 0.3989 0.0671 0.7007
Se2 0.6011 0.9329 0.2993
Er2 0.6671 0.3329 0.5000
Se3 0.0671 0.3989 0.7007
Se4 0.7367 0.7367 0.7006
Tl2 0.8327 0.1673 0.0000
Se5 0.9329 0.6011 0.2993
U1 0.0000 0.0000 0.5000
Se6 0.2633 0.2633 0.2994



[11]
VASP calculation (PBE) on a geometry-optimized Pm3Sm6Dy2 structure.

- magnetization (μB/cell) = 0.0
- energy of formation (eV per atom) = 0.274
- VASP energy (eV for the cell shown) = -48.8
- energy above the lowest structure with this stoichiometry (meV/atom) = 261
- ρ (kg/m³) = 7117

Unit cell a=4.8057 b=4.8057 c=17.1326 alpha=98.06 beta=98.06 gamma=90.00
Fractional coordinates of all 11 atoms:
Sm1 0.3030 0.3030 0.6060
Sm2 0.1199 0.6199 0.2398
Dy1 0.5455 0.5455 0.0910
Dy2 0.4545 0.4545 0.9090
Pm1 0.0000 0.0000 0.0000
Pm2 0.7995 0.7995 0.5990
Sm3 0.8801 0.3801 0.7602
Sm4 0.6199 0.1199 0.2398
Sm5 0.6970 0.6970 0.3940
Pm3 0.2005 0.2005 0.4010
Sm6 0.3801 0.8801 0.7602



[12]
VASP calculation (PBE) on a geometry-optimized GdInGa structure.

- magnetization (μB/cell) = 7.1
- energy of formation (eV per atom) = -0.483
- VASP energy (eV for the cell shown) = -21.3
- energy above the lowest structure with this stoichiometry (meV/atom) = 0
- ρ (kg/m³) = 8063

Unit cell a=3.5817 b=4.7636 c=4.7636 alpha=120.00 beta=90.00 gamma=90.00
Fractional coordinates of all 3 atoms:
Ga1 0.1677 0.0000 0.0000
In1 0.1659 0.3333 0.6667
Gd1 0.6664 0.6667 0.3333